# MgTiCo2 | Alexandria via LeMat-Bulk | PBE-GGA | relaxed
data_MgTiCo2
_chemical_formula_sum 'Mg1 Ti1 Co2'
_cell_length_a 3.026
_cell_length_b 4.156
_cell_length_c 4.156
_cell_angle_alpha 90.00
_cell_angle_beta 90.00
_cell_angle_gamma 90.00
_symmetry_space_group_name_H-M 'P 1'
_symmetry_Int_Tables_number 1
_symmetry_space_group_name_Hall 'P 1'
loop_
_atom_site_label
_atom_site_fract_x
_atom_site_fract_y
_atom_site_fract_z
Co1 0.000 0.000 0.500
Co2 0.000 0.500 0.000
Ti1 0.500 0.000 0.000
Mg1 0.500 0.500 0.500
# energy of formation from the pure elements	-186	meV/atom
# space group	P4/mmm
# DFT total energy	-6.112	eV per atom